[1]
Be3SnBi | PBE-GGA | relaxed

```
Be3SnBi
1.0
4.691 0.000 0.000
0.000 4.691 0.000
0.000 0.000 4.691
Be Sn Bi
3 1 1
direct
0.500 0.000 0.000 Be
0.000 0.500 0.000 Be
0.000 0.000 0.500 Be
0.000 0.000 0.000 Sn
0.500 0.500 0.500 Bi
```

Output
Its space group is Pm-3m, No. 221. For the formation enthalpy at 0 K, the calculation gives 1081 meV per atom. The calculation puts the energy above the most stable polymorph in this dataset at 0 meV/atom. The energy comes out at -2.7312 eV/atom.



[2]
Er6Ni2Ir | PBE-GGA | relaxed

```
Er6Ni2Ir
1.0
-4.725 0.483 6.575
-0.739 -7.328 -3.399
7.741 1.151 2.133
Er Ni Ir
12 4 2
direct
0.087 0.262 0.825 Er
0.185 0.744 0.929 Er
0.306 0.635 0.329 Er
0.694 0.023 0.329 Er
0.694 0.365 0.671 Er
0.913 0.738 0.175 Er
0.437 0.262 0.175 Er
0.563 0.738 0.825 Er
0.815 0.256 0.071 Er
0.185 0.256 0.441 Er
0.306 0.977 0.671 Er
0.815 0.744 0.559 Er
0.500 0.380 0.880 Ni
0.658 0.000 0.658 Ni
0.500 0.620 0.120 Ni
0.342 0.000 0.342 Ni
0.000 0.000 0.000 Ir
0.000 0.500 0.500 Ir
```

Output
Its space group is Immm, No. 71. For the formation enthalpy at 0 K, the calculation gives -460 meV per atom. The energy comes out at -5.7712 eV/atom.



[3]
SiWSe2N | PBE-GGA | relaxed

```
SiWSe2N
1.0
-3.239 1.730 -3.418
-0.801 -4.683 -1.611
-2.438 -0.322 2.148
Si N W Se
1 1 1 2
direct
0.000 0.000 0.000 Si
0.000 0.000 0.500 N
0.500 0.500 0.500 W
0.500 0.000 0.000 Se
0.000 0.500 0.000 Se
```

Output
Its space group is P4/mmm, No. 123. The calculation puts the energy above the most stable polymorph in this dataset at 323 meV/atom. The energy comes out at -6.0032 eV/atom. As for the uncorrected formation energy: 0.731 eV per atom.



[4]
Co2RePt | PBE-GGA | relaxed

```
Co2RePt
1.0
3.811 0.000 0.000
0.000 3.811 0.000
0.000 0.000 3.555
Re Co Pt
1 2 1
direct
0.000 0.500 0.500 Re
0.000 0.000 0.000 Co
0.500 0.500 0.000 Co
0.500 0.000 0.500 Pt
```

Output
Its space group is P4/mmm, No. 123. For the formation enthalpy at 0 K, the calculation gives 80 meV per atom. The calculation puts the energy above the most stable polymorph in this dataset at 92 meV/atom. The energy comes out at -8.0951 eV/atom.



[5]
ZrTlP | PBE-GGA | relaxed

```
ZrTlP
1.0
3.701 1.504 2.293
-0.467 1.736 4.241
1.569 -2.352 3.637
Tl P Zr
1 1 1
direct
0.000 0.000 0.000 Tl
0.250 0.250 0.250 P
0.500 0.500 0.500 Zr
```

Output
Its space group is F-43m, No. 216. For the formation enthalpy at 0 K, the calculation gives -6 meV per atom. The calculation puts the energy above the most stable polymorph in this dataset at 474 meV/atom. The energy comes out at -5.4474 eV/atom.



[6]
CaMn2Tc | PBE-GGA | relaxed

```
CaMn2Tc
1.0
-1.026 2.314 1.602
-1.922 -2.979 3.072
3.966 0.024 2.505
Mn Ca Tc
2 1 1
direct
0.000 0.500 0.500 Mn
0.000 0.000 0.000 Mn
0.500 0.000 0.500 Ca
0.500 0.500 0.000 Tc
```

Output
Its space group is P4/mmm, No. 123. For the formation enthalpy at 0 K, the calculation gives 644 meV per atom. The calculation puts the energy above the most stable polymorph in this dataset at 285 meV/atom. The energy comes out at -7.0323 eV/atom.